No. 1
# GGA-PBE Mg2MnGaN4, relaxed
data_Mg2MnGaN4
_chemical_formula_sum 'Mg4 Mn2 Ga2 N8'
_symmetry_space_group_name_H-M 'P 1'
_symmetry_Int_Tables_number 1
_cell_length_a 5.196
_cell_length_b 5.741
_cell_length_c 6.445
_cell_angle_alpha 90.00
_cell_angle_beta 90.00
_cell_angle_gamma 90.00
loop_
_symmetry_equiv_pos_as_xyz
'x,y,z'
loop_
_atom_site_label
_atom_site_type_symbol
_atom_site_fract_x
_atom_site_fract_y
_atom_site_fract_z
Mg1 Mg 0.993 0.673 0.249
Mg2 Mg 0.493 0.327 0.749
Mg3 Mg 0.493 0.327 0.251
Mg4 Mg 0.993 0.673 0.751
Ga1 Ga 0.497 0.846 0.000
Ga2 Ga 0.997 0.154 0.500
N1 N 0.901 0.318 0.238
N2 N 0.841 0.846 0.500
N3 N 0.376 0.122 0.500
N4 N 0.401 0.682 0.262
N5 N 0.341 0.154 0.000
N6 N 0.876 0.878 0.000
N7 N 0.401 0.682 0.738
N8 N 0.901 0.318 0.762
Mn1 Mn 0.498 0.832 0.500
Mn2 Mn 0.998 0.168 0.000
# ΔE_f (raw) in eV per atom: -0.479

---

No. 2
# GGA-PBE MgMnNbGa2, relaxed
data_MgMnNbGa2
_chemical_formula_sum 'Mg1 Mn1 Nb1 Ga2'
_symmetry_space_group_name_H-M 'P 1'
_symmetry_Int_Tables_number 1
_cell_length_a 4.475
_cell_length_b 4.568
_cell_length_c 4.475
_cell_angle_alpha 90.00
_cell_angle_beta 90.00
_cell_angle_gamma 90.00
loop_
_symmetry_equiv_pos_as_xyz
'x,y,z'
loop_
_atom_site_label
_atom_site_type_symbol
_atom_site_fract_x
_atom_site_fract_y
_atom_site_fract_z
Ga1 Ga 0.000 0.000 0.500
Ga2 Ga 0.500 0.000 0.000
Mn1 Mn 0.000 0.000 0.000
Nb1 Nb 0.500 0.500 0.500
Mg1 Mg 0.000 0.500 0.000
# VASP energy in eV per atom: -4.6626

---

| no. | density of states at the Fermi level (states/eV per atom) |
| --- | --- |
| 1 | 0.03 |
| 2 | 1.06 |